1.
The following is a PBE-GGA calculation of a relaxed structure of Sm3Pu2UAs6, from Alexandria.

Cell: 9.314 9.314 8.344 Å, 103.12 103.12 25.79°
Atoms (fractional coordinates):
Sm  0.000  0.000  0.000
Sm  0.332  0.332  0.669
Sm  0.668  0.668  0.331
Pu  0.334  0.334  0.168
Pu  0.666  0.666  0.832
U  0.000  0.000  0.500
As  0.163  0.163  0.584
As  0.169  0.169  0.078
As  0.500  0.500  0.258
As  0.500  0.500  0.742
As  0.831  0.831  0.922
As  0.837  0.837  0.416

uncorrected energy = -96.8 eV/cell
space group = C2/m (12)
total moment = 12.5 μB per formula unit

---

2.
The following is a PBE-GGA calculation of a relaxed structure of SmPuU2As4, from Alexandria.

Cell: 7.135 4.098 7.189 Å, 90.00 109.11 90.00°
Atoms (fractional coordinates):
Sm  0.000  0.000  0.000
Pu  0.500  0.500  0.000
U  0.000  0.500  0.500
U  0.500  0.000  0.500
As  0.251  0.000  0.744
As  0.254  0.500  0.259
As  0.746  0.500  0.741
As  0.749  0.000  0.256

uncorrected energy = -68.1 eV/cell
space group = P2/m (10)
total moment = 5.5 μB per formula unit

---

3.
The following is a PBE-GGA calculation of a relaxed structure of SmPu2UAs4, from Alexandria.

Cell: 7.169 4.136 7.185 Å, 90.00 109.31 90.00°
Atoms (fractional coordinates):
Sm  0.000  0.000  0.000
Pu  0.500  0.000  0.500
Pu  0.500  0.500  0.000
U  0.000  0.500  0.500
As  0.248  0.000  0.744
As  0.252  0.500  0.258
As  0.748  0.500  0.742
As  0.752  0.000  0.256

uncorrected energy = -71.7 eV/cell
space group = P2/m (10)
total moment = 8.4 μB per formula unit

---

4.
The following is a PBE-GGA calculation of a relaxed structure of Sm2Pu3UAs6, from Alexandria.

Cell: 9.275 9.275 8.296 Å, 102.85 102.85 25.88°
Atoms (fractional coordinates):
Sm  0.166  0.166  0.335
Sm  0.834  0.834  0.665
Pu  0.169  0.169  0.833
Pu  0.500  0.500  0.500
Pu  0.831  0.831  0.167
U  0.500  0.500  0.000
As  0.002  0.002  0.756
As  0.334  0.334  0.411
As  0.336  0.336  0.923
As  0.664  0.664  0.077
As  0.666  0.666  0.589
As  0.998  0.998  0.244

uncorrected energy = -105.1 eV/cell
space group = C2/m (12)
total moment = 3.0 μB per formula unit

---

5.
The following is a PBE-GGA calculation of a relaxed structure of Sm2YPuAs4, from Alexandria.

Cell: 7.215 4.179 7.220 Å, 90.00 109.46 90.00°
Atoms (fractional coordinates):
Sm  0.000  0.000  0.000
Sm  0.500  0.500  0.000
Y  0.000  0.500  0.500
Pu  0.500  0.000  0.500
As  0.249  0.000  0.744
As  0.254  0.500  0.257
As  0.746  0.500  0.743
As  0.751  0.000  0.256

uncorrected energy = -60.0 eV/cell
space group = P2/m (10)
total moment = 4.9 μB per formula unit

---

6.
The following is a PBE-GGA calculation of a relaxed structure of SmYPu2As4, from Alexandria.

Cell: 7.163 4.159 7.200 Å, 90.00 109.58 90.00°
Atoms (fractional coordinates):
Sm  0.000  0.000  0.000
Y  0.000  0.500  0.500
Pu  0.500  0.000  0.500
Pu  0.500  0.500  0.000
As  0.255  0.000  0.749
As  0.257  0.500  0.255
As  0.743  0.500  0.745
As  0.745  0.000  0.251

uncorrected energy = -68.7 eV/cell
space group = P2/m (10)
total moment = 9.9 μB per formula unit